Below is a geometry-optimized HfSc2CoN structure, with properties calculated at the PBE-GGA level.

The structure in POSCAR format:
```
HfSc2CoN
1.0
5.212 0.000 0.000
0.000 5.212 0.000
0.000 0.000 4.303
Hf Sc Co N
1 2 1 1
direct
0.000 0.000 0.000 Hf
0.000 0.500 0.000 Sc
0.500 0.000 0.000 Sc
0.000 0.000 0.500 Co
0.500 0.500 0.500 N
```

E   -5.77 eV per atom
Total magnetic moment   1.24 μB/cell
Formation energy from raw total energies   1.839 eV/atom
Theoretical density   4.8 g/cm³
N(E_F)   5.73 states/eV/cell
Crystal system   tetragonal